{"formula": "Pm2HoRuN4", "functional": "PBE-GGA", "state": "optimized geometry", "lattice_angstrom": [[-0.5901, 1.9572, 2.7535], [-1.2107, -5.7718, 1.7075], [11.4295, -1.3821, 3.4320]], "species": ["Pm", "Pm", "Pm", "Pm", "Ho", "Ho", "Ru", "Ru", "N", "N", "N", "N", "N", "N", "N", "N"], "fractional_positions": [[0.3679, 0.7357, 0.5427], [0.6321, 0.2643, 0.0427], [0.6321, 0.2643, 0.4573], [0.3679, 0.7357, 0.9573], [0.1302, 0.2604, 0.7500], [0.8698, 0.7396, 0.2500], [0.8605, 0.7211, 0.7500], [0.1395, 0.2789, 0.2500], [0.2727, 0.5455, 0.1374], [0.7273, 0.4545, 0.6374], [0.7273, 0.4545, 0.8626], [0.2727, 0.5455, 0.3626], [0.0000, 0.0000, 0.5000], [0.0000, 0.0000, 0.0000], [0.4439, 0.8878, 0.7500], [0.5561, 0.1122, 0.2500]], "energy_ev_per_atom": -7.9522, "formation_energy_uncorrected_ev_per_atom": -0.8702, "space_group": "Cmcm", "dos_at_fermi_per_ev_cell": 2.9}